No. 1
The following is a DFT calculation (PBE-GGA) of a relaxed structure of CsHfNi3.

Calculated values
As for the symmetry: No. 221. The value obtained for the energy above the most stable polymorph in this dataset is 5.006 eV per formula unit. As for the formation enthalpy at 0 K: 1991 meV per atom. The density comes out at 7.62 g cm⁻³. The total energy is -3.64 eV/atom. The total moment is 0.000 μB/atom.

Lattice parameters (Å, degrees): 4.737 4.737 4.737 90.00 90.00 90.00
Atoms (fractional coordinates):
Cs 0.000 0.000 0.000
Hf 0.500 0.500 0.500
Ni 0.000 0.000 0.500
Ni 0.000 0.500 0.000
Ni 0.500 0.000 0.000

---

No. 2
The following is a DFT calculation (PBE-GGA) of a relaxed structure of Ho2ErSc3.

Calculated values
As for the symmetry: No. 164. The value obtained for the energy above the most stable polymorph in this dataset is 1.136 eV per formula unit. As for the formation enthalpy at 0 K: 241 meV per atom. The density comes out at 6.00 g cm⁻³. The total energy is -5.21 eV/atom. The total moment is 0.209 μB/atom.

Lattice parameters (Å, degrees): 6.289 6.289 10.209 90.00 90.00 120.00
Atoms (fractional coordinates):
Ho 0.000 0.000 0.000
Ho 0.000 0.000 0.500
Ho 0.333 0.667 0.063
Ho 0.667 0.333 0.937
Er 0.333 0.667 0.437
Er 0.667 0.333 0.563
Sc 0.172 0.343 0.750
Sc 0.172 0.828 0.750
Sc 0.343 0.172 0.250
Sc 0.657 0.828 0.750
Sc 0.828 0.172 0.250
Sc 0.828 0.657 0.250